Record 1
AsPtAu3 PBE relaxed; volume = 110.8 Å³ per cell; uncorrected energy = -16.9 eV for the cell shown; crystal system = cubic; ρ = 12.9 g/cm3; energy above the most stable polymorph in this dataset = 0 meV/atom; energy relative to the elements = 0.72 eV per atom; D(E_F) = 1.3 states/eV per cell
1.0
-1.513 0.812 4.486
-0.118 -4.732 0.816
4.557 0.147 1.510
As Au Pt
1 3 1
Cartesian
0.000 0.000 0.000 As
2.279 0.074 0.755 Au
-0.756 0.406 2.243 Au
-0.059 -2.366 0.408 Au
1.463 -1.887 3.406 Pt

Record 2
BeCoCu PBE relaxed; volume = 32.8 Å³ per cell; uncorrected energy = -14.2 eV for the cell shown; crystal system = cubic; ρ = 6.6 g/cm3; energy above the most stable polymorph in this dataset = 329 meV/atom; energy relative to the elements = 0.24 eV per atom; D(E_F) = 2.1 states/eV per cell
1.0
3.595 0.000 0.000
1.797 3.113 0.000
1.797 1.038 2.935
Be Co Cu
1 1 1
Cartesian
5.392 3.113 2.201 Be
0.000 0.000 0.000 Co
3.595 2.075 1.467 Cu

- What is the energy above the most stable polymorph in this dataset in the second record?
  329 meV/atom